First-principles (GGA-PBE) data for a relaxed structure of BaSn3Os, as listed in Alexandria.

Output
Fermi-level density of states	7.081	states/eV per cell
formation energy from the elements	0.064	eV/atom
total DFT energy (no corrections)	-24.842	eV for the cell shown

Unit cell a=5.279 b=5.279 c=5.279 alpha=90.00 beta=90.00 gamma=90.00
Fractional coordinates of all 5 atoms:
1 Ba 0.000 0.000 0.000
2 Sn 0.000 0.500 0.500
3 Sn 0.500 0.000 0.500
4 Sn 0.500 0.500 0.000
5 Os 0.500 0.500 0.500

***

First-principles (GGA-PBE) data for a relaxed structure of BaSnOs3, as listed in Alexandria.

Output
Fermi-level density of states	8.208	states/eV per cell
formation energy from the elements	3.445	eV/atom
total DFT energy (no corrections)	-22.392	eV for the cell shown
E above lowest polymorph	1542.8	meV per atom

Unit cell a=5.115 b=5.115 c=5.115 alpha=90.00 beta=90.00 gamma=90.00
Fractional coordinates of all 5 atoms:
1 Ba 0.000 0.000 0.000
2 Sn 0.500 0.500 0.500
3 Os 0.000 0.000 0.500
4 Os 0.000 0.500 0.000
5 Os 0.500 0.000 0.000

***

First-principles (GGA-PBE) data for a relaxed structure of BaTiSnOs, as listed in Alexandria.

Output
Fermi-level density of states	6.023	states/eV per cell
formation energy from the elements	-0.062	eV/atom
total DFT energy (no corrections)	-25.298	eV for the cell shown
E above lowest polymorph	70.4	meV per atom

Unit cell a=6.860 b=6.860 c=6.860 alpha=38.15 beta=38.15 gamma=38.15
Fractional coordinates of all 4 atoms:
1 Ba 0.000 0.000 0.000
2 Ti 0.533 0.533 0.533
3 Sn 0.803 0.803 0.803
4 Os 0.195 0.195 0.195

***

First-principles (GGA-PBE) data for a relaxed structure of BaTiSnOs, as listed in Alexandria.

Output
Fermi-level density of states	3.424	states/eV per cell
formation energy from the elements	0.042	eV/atom
total DFT energy (no corrections)	-24.880	eV for the cell shown
E above lowest polymorph	174.7	meV per atom

Unit cell a=3.360 b=3.927 c=7.707 alpha=90.00 beta=96.29 gamma=90.00
Fractional coordinates of all 4 atoms:
1 Ba 0.000 0.000 0.000
2 Ti 0.833 0.500 0.376
3 Sn 0.414 0.500 0.682
4 Os 0.349 0.000 0.415

***

First-principles (GGA-PBE) data for a relaxed structure of BaTiSnOs, as listed in Alexandria.

Output
Fermi-level density of states	3.256	states/eV per cell
formation energy from the elements	-0.132	eV/atom
total DFT energy (no corrections)	-25.579	eV for the cell shown
E above lowest polymorph	0.0	meV per atom

Unit cell a=3.361 b=3.361 c=8.274 alpha=90.00 beta=90.00 gamma=90.00
Fractional coordinates of all 4 atoms:
1 Ba 0.000 0.000 0.000
2 Ti 0.000 0.000 0.572
3 Sn 0.500 0.500 0.339
4 Os 0.500 0.500 0.700

***

First-principles (GGA-PBE) data for a relaxed structure of BaTiSnOs, as listed in Alexandria.

Output
Fermi-level density of states	2.976	states/eV per cell
formation energy from the elements	0.106	eV/atom
total DFT energy (no corrections)	-24.627	eV for the cell shown
E above lowest polymorph	238.0	meV per atom

Unit cell a=4.476 b=4.476 c=7.438 alpha=97.58 beta=97.58 gamma=43.77
Fractional coordinates of all 4 atoms:
1 Ba 0.000 0.000 0.000
2 Ti 0.786 0.786 0.344
3 Sn 0.243 0.243 0.659
4 Os 0.507 0.507 0.467

***

First-principles (GGA-PBE) data for a relaxed structure of BaTiSnOs, as listed in Alexandria.

Output
Fermi-level density of states	3.615	states/eV per cell
formation energy from the elements	0.045	eV/atom
total DFT energy (no corrections)	-24.869	eV for the cell shown
E above lowest polymorph	177.6	meV per atom

Unit cell a=3.324 b=3.324 c=8.631 alpha=90.00 beta=90.00 gamma=90.00
Fractional coordinates of all 4 atoms:
1 Ba 0.000 0.000 0.000
2 Ti 0.500 0.500 0.339
3 Sn 0.500 0.500 0.683
4 Os 0.000 0.000 0.471

***

First-principles (GGA-PBE) data for a relaxed structure of BaTiSnOs, as listed in Alexandria.

Output
Fermi-level density of states	5.330	states/eV per cell
formation energy from the elements	-0.052	eV/atom
total DFT energy (no corrections)	-25.257	eV for the cell shown
E above lowest polymorph	80.6	meV per atom

Unit cell a=6.938 b=6.938 c=6.938 alpha=37.32 beta=37.32 gamma=37.32
Fractional coordinates of all 4 atoms:
1 Ba 0.000 0.000 0.000
2 Ti 0.797 0.797 0.797
3 Sn 0.199 0.199 0.199
4 Os 0.474 0.474 0.474

***

Copy entry 2 word for word.
First-principles (GGA-PBE) data for a relaxed structure of BaSnOs3, as listed in Alexandria.

Output
Fermi-level density of states	8.208	states/eV per cell
formation energy from the elements	3.445	eV/atom
total DFT energy (no corrections)	-22.392	eV for the cell shown
E above lowest polymorph	1542.8	meV per atom

Unit cell a=5.115 b=5.115 c=5.115 alpha=90.00 beta=90.00 gamma=90.00
Fractional coordinates of all 5 atoms:
1 Ba 0.000 0.000 0.000
2 Sn 0.500 0.500 0.500
3 Os 0.000 0.000 0.500
4 Os 0.000 0.500 0.000
5 Os 0.500 0.000 0.000